DFT (GGA+U) results for a geometry-optimized MnCuBi2O6 structure.

```
data_MnCuBi2O6
_symmetry_space_group_name_H-M 'C 1 2/m 1'
_symmetry_Int_Tables_number 12
_symmetry_space_group_name_Hall '-C 2y'
_cell_length_a 10.181
_cell_length_b 5.328
_cell_length_c 5.171
_cell_angle_alpha 90.00
_cell_angle_beta 115.35
_cell_angle_gamma 90.00
loop_
_atom_site_label
_atom_site_fract_x
_atom_site_fract_y
_atom_site_fract_z
Mn1 0.000 0.000 0.000
Cu1 0.000 0.500 0.500
Bi1 0.248 0.500 0.224
O1 0.073 0.250 0.806
O2 0.194 0.000 0.296
```

D(E_F)   2.3 states/eV per cell
Calculated total energy   -59.949 eV per formula unit